VASP calculation (PBE with a Hubbard U) on a relaxed ScWBrO2 crystal.

Unit cell a=4.0921 b=5.4599 c=4.0921 alpha=90.00 beta=90.00 gamma=90.00
Closest atoms and distances in Å follow each position.
Sites, in units of the cell vectors:
Br 0.0000 0.5000 0.0000  2 Sc 2.73, 4 W 2.89
O 0.5000 0.0000 0.0000  2 Sc 2.05
Sc 0.0000 0.0000 0.0000  4 O 2.05
W 0.5000 0.5000 0.5000  4 Br 2.89
O 0.0000 0.0000 0.5000  2 Sc 2.05

**Symmetry**: No. 123
**DFT total energy**: -0.2187 Ha/atom